1.
DFT (PBE) results for RbPm2Y3Te6 after structural relaxation. Values from VASP.

Computed properties:
- DOS(E_F) (states/eV per cell) = 4.46
- crystal system = monoclinic

Structure (Quantum ESPRESSO input):
```
&SYSTEM
  ibrav = 0, nat = 12, ntyp = 4
/
ATOMIC_SPECIES
Te 127.60 Te.upf
Y 88.91 Y.upf
Pm 145.00 Pm.upf
Rb 85.47 Rb.upf
CELL_PARAMETERS angstrom
4.4073 0.0000 0.0000
0.0000 9.2077 0.2380
-2.2036 -2.7456 9.4786
ATOMIC_POSITIONS angstrom
Te 0.0000 6.6665 6.3516
Y 0.0000 6.6761 3.2757
Te 0.0000 1.9275 6.4944
Te 0.0000 2.5066 0.0982
Te 2.2036 3.9555 9.6185
Te 2.2036 -0.2044 3.3651
Pm 0.0000 2.2724 3.3603
Y 2.2036 -0.2140 6.4410
Rb 2.2036 0.0000 0.0000
Te 2.2036 4.5346 3.2222
Pm 2.2036 4.1897 6.3564
Y 2.2036 4.6039 0.1190
```

2.
DFT (PBE) results for Ca2TlH2 after structural relaxation. Values from VASP.

Computed properties:
- DOS(E_F) (states/eV per cell) = 6.19
- crystal system = tetragonal

Structure (Quantum ESPRESSO input):
```
&SYSTEM
  ibrav = 0, nat = 10, ntyp = 3
/
ATOMIC_SPECIES
Ca 40.08 Ca.upf
Tl 204.38 Tl.upf
H 1.01 H.upf
CELL_PARAMETERS angstrom
7.6648 0.0000 0.0000
0.0000 7.6648 0.0000
0.0000 0.0000 3.2457
ATOMIC_POSITIONS angstrom
Ca 6.5129 2.6805 1.6229
Tl 3.8324 3.8324 0.0000
Ca 2.6805 1.1519 1.6229
H 4.5833 0.7509 0.0000
Ca 4.9843 6.5129 1.6229
Ca 1.1519 4.9843 1.6229
H 6.9139 4.5833 0.0000
Tl 0.0000 0.0000 0.0000
H 3.0815 6.9139 0.0000
H 0.7509 3.0815 0.0000
```

3.
DFT (PBE) results for LiMo2As after structural relaxation. Values from VASP.

Computed properties:
- DOS(E_F) (states/eV per cell) = 3.11
- crystal system = monoclinic
- ΔE_f (eV/atom) = 0.252

Structure (Quantum ESPRESSO input):
```
&SYSTEM
  ibrav = 0, nat = 4, ntyp = 3
/
ATOMIC_SPECIES
Li 6.94 Li.upf
As 74.92 As.upf
Mo 95.94 Mo.upf
CELL_PARAMETERS angstrom
-0.8677 5.1068 -0.1366
-2.1085 -2.8207 -3.6318
-2.6377 0.1001 0.7812
ATOMIC_POSITIONS angstrom
Li -1.4881 1.1431 -1.8842
As -2.3731 -1.3603 -1.4253
Mo -1.7527 2.6034 0.3223
Mo 0.0000 0.0000 0.0000
```

4.
DFT (PBE) results for TbTmZr2 after structural relaxation. Values from VASP.

Computed properties:
- DOS(E_F) (states/eV per cell) = 5.72
- crystal system = trigonal
- ΔE_f (eV/atom) = 0.115

Structure (Quantum ESPRESSO input):
```
&SYSTEM
  ibrav = 0, nat = 4, ntyp = 3
/
ATOMIC_SPECIES
Tm 168.93 Tm.upf
Zr 91.22 Zr.upf
Tb 158.93 Tb.upf
CELL_PARAMETERS angstrom
-2.9038 -1.4610 0.7175
-0.5626 -1.1686 3.0658
-5.3128 8.8285 4.1976
ATOMIC_POSITIONS angstrom
Tm 0.0000 0.0000 0.0000
Zr -6.5911 4.6649 5.9904
Zr -2.1881 1.5340 1.9905
Tb -4.3896 3.0994 3.9904
```

5.
DFT (PBE) results for CaNi2Hg after structural relaxation. Values from VASP.

Computed properties:
- DOS(E_F) (states/eV per cell) = 4.17
- crystal system = orthorhombic
- ΔE_f (eV/atom) = 0.034

Structure (Quantum ESPRESSO input):
```
&SYSTEM
  ibrav = 0, nat = 4, ntyp = 3
/
ATOMIC_SPECIES
Ni 58.69 Ni.upf
Ca 40.08 Ca.upf
Hg 200.59 Hg.upf
CELL_PARAMETERS angstrom
5.3645 -0.0250 0.0349
4.2486 3.2754 0.0349
1.7751 0.6002 3.9672
ATOMIC_POSITIONS angstrom
Ni 8.2845 2.8012 3.1530
Ca 5.6265 1.9025 2.0527
Ni 1.9597 0.6626 3.8778
Hg 2.9868 1.0099 0.9393
```

6.
DFT (PBE) results for Nb4V3Ga5 after structural relaxation. Values from VASP.

Computed properties:
- DOS(E_F) (states/eV per cell) = 9.43
- crystal system = monoclinic
- ΔE_f (eV/atom) = 0.106

Structure (Quantum ESPRESSO input):
```
&SYSTEM
  ibrav = 0, nat = 12, ntyp = 3
/
ATOMIC_SPECIES
Ga 69.72 Ga.upf
Nb 92.91 Nb.upf
V 50.94 V.upf
CELL_PARAMETERS angstrom
4.6584 0.0000 0.0000
2.3292 6.2747 0.5929
2.3292 2.4137 7.0718
ATOMIC_POSITIONS angstrom
Ga 4.6584 3.5253 1.4397
Nb 2.3292 4.9940 0.7461
V 4.6584 6.0450 1.9992
V 2.3292 4.3442 3.8323
Nb 6.9875 7.0077 3.2232
Ga 4.6584 4.3442 3.8323
Nb 2.3292 1.6807 4.4415
Ga 2.3292 2.3025 1.8078
Ga 6.9875 6.3859 5.8568
Ga 4.6584 5.1632 6.2249
Nb 6.9875 3.6944 6.9186
V 4.6584 2.6435 5.6654
```

7.
DFT (PBE) results for TmScGa after structural relaxation. Values from VASP.

Computed properties:
- DOS(E_F) (states/eV per cell) = 17.38
- crystal system = hexagonal
- ΔE_f (eV/atom) = -0.447

Structure (Quantum ESPRESSO input):
```
&SYSTEM
  ibrav = 0, nat = 18, ntyp = 3
/
ATOMIC_SPECIES
Sc 44.96 Sc.upf
Ga 69.72 Ga.upf
Tm 168.93 Tm.upf
CELL_PARAMETERS angstrom
7.6303 0.0000 0.0000
0.0000 8.3292 0.0000
-3.8152 -4.1646 6.6071
ATOMIC_POSITIONS angstrom
Sc 4.7726 4.1648 1.6879
Ga 1.9330 -0.0006 2.2028
Tm 3.4824 -2.0823 3.9248
Sc 0.9574 4.1648 4.9192
Ga -1.8821 -0.0006 4.4044
Tm 2.6490 2.0823 0.0009
Sc 0.0677 0.0000 0.0000
Ga 1.9332 2.0823 6.6070
Ga 1.9330 4.1652 2.2028
Tm -1.1661 2.0823 6.6062
Sc 0.9574 -0.0002 4.9192
Ga 5.7484 2.0823 0.0002
Tm -0.3328 6.2469 2.6824
Ga -1.8821 4.1652 4.4044
Tm -0.3328 2.0823 2.6830
Tm 3.4824 2.0823 3.9242
Sc 0.0677 4.1646 0.0000
Sc 4.7726 -0.0002 1.6879
```

8.
DFT (PBE) results for LiGa8Tc2 after structural relaxation. Values from VASP.

Computed properties:
- DOS(E_F) (states/eV per cell) = 4.14
- crystal system = monoclinic
- ΔE_f (eV/atom) = -0.056

Structure (Quantum ESPRESSO input):
```
&SYSTEM
  ibrav = 0, nat = 11, ntyp = 3
/
ATOMIC_SPECIES
Ga 69.72 Ga.upf
Tc 98.00 Tc.upf
Li 6.94 Li.upf
CELL_PARAMETERS angstrom
4.9493 0.4358 0.0000
0.7933 6.9063 0.0000
0.3967 3.4532 5.8321
ATOMIC_POSITIONS angstrom
Ga 4.9794 5.2207 4.5785
Ga 4.5827 1.7675 1.2536
Tc 0.7933 6.9063 3.3678
Ga 2.8713 3.6711 2.7158
Li 2.4747 0.2179 0.0000
Ga 4.0744 4.4208 0.0000
Ga 1.6682 2.9214 0.0000
Ga 1.5566 9.0278 4.5785
Tc 0.3967 3.4532 2.4644
Ga 1.1599 5.5747 1.2536
Ga 3.2680 7.1242 3.1163
```

9.
DFT (PBE) results for Dy5TmHg6 after structural relaxation. Values from VASP.

Computed properties:
- DOS(E_F) (states/eV per cell) = 10.88
- crystal system = monoclinic
- ΔE_f (eV/atom) = -0.481

Structure (Quantum ESPRESSO input):
```
&SYSTEM
  ibrav = 0, nat = 12, ntyp = 3
/
ATOMIC_SPECIES
Dy 162.50 Dy.upf
Tm 168.93 Tm.upf
Hg 200.59 Hg.upf
CELL_PARAMETERS angstrom
4.9739 -0.0297 1.6436
0.0400 7.4410 0.0133
-0.0266 -0.0147 8.3008
ATOMIC_POSITIONS angstrom
Dy 3.2940 -0.0296 6.6409
Dy 3.3228 3.6909 6.6229
Dy 1.6646 3.7057 3.3348
Tm 0.0000 0.0000 0.0000
Hg 0.8363 5.5827 5.8336
Hg 2.4970 1.8281 0.8251
Dy 0.0200 3.7205 0.0067
Hg 4.1715 5.5678 4.1309
Hg 0.8159 1.8288 5.8268
Hg 2.5169 5.5832 0.8318
Hg 4.1511 1.8139 4.1241
Dy 1.6534 -0.0148 3.3035
```

10.
DFT (PBE) results for Ac2Pu2Te7 after structural relaxation. Values from VASP.

Computed properties:
- DOS(E_F) (states/eV per cell) = 28.15
- crystal system = orthorhombic

Structure (Quantum ESPRESSO input):
```
&SYSTEM
  ibrav = 0, nat = 11, ntyp = 3
/
ATOMIC_SPECIES
Pu 244.00 Pu.upf
Te 127.60 Te.upf
Ac 227.00 Ac.upf
CELL_PARAMETERS angstrom
-2.1315 -5.6469 5.3544
-2.2926 -3.7357 -4.8532
7.4217 -2.8960 -1.2776
ATOMIC_POSITIONS angstrom
Pu 2.5720 -7.3680 -4.3556
Te 2.0812 -5.1904 0.8445
Te 5.7764 -6.6637 0.1728
Te 3.1313 -2.3923 -1.8655
Ac 2.8978 -8.3986 0.6899
Pu 0.4256 -4.9106 3.5792
Te 0.9164 -7.0882 -1.6210
Te -0.1337 -9.8863 1.0891
Te -2.7788 -5.6149 -0.9493
Te 0.0000 0.0000 0.0000
Ac 0.0998 -3.8800 -1.4664
```

11.
DFT (PBE) results for SrBeAg2 after structural relaxation. Values from VASP.

Computed properties:
- DOS(E_F) (states/eV per cell) = 1.42
- crystal system = monoclinic
- ΔE_f (eV/atom) = 0.160

Structure (Quantum ESPRESSO input):
```
&SYSTEM
  ibrav = 0, nat = 4, ntyp = 3
/
ATOMIC_SPECIES
Be 9.01 Be.upf
Sr 87.62 Sr.upf
Ag 107.87 Ag.upf
CELL_PARAMETERS angstrom
-2.7558 -2.5829 -1.1962
-0.7677 -0.8398 3.5818
-4.5135 4.0300 1.6964
ATOMIC_POSITIONS angstrom
Be -2.6982 -0.4939 0.7215
Sr -5.3388 1.1013 3.3606
Ag -2.2504 1.3896 2.1840
Ag -0.3902 0.2055 0.4551
```

12.
DFT (PBE) results for LiNb3Ni after structural relaxation. Values from VASP.

Computed properties:
- DOS(E_F) (states/eV per cell) = 4.45
- crystal system = cubic
- ΔE_f (eV/atom) = 0.932

Structure (Quantum ESPRESSO input):
```
&SYSTEM
  ibrav = 0, nat = 5, ntyp = 3
/
ATOMIC_SPECIES
Nb 92.91 Nb.upf
Ni 58.69 Ni.upf
Li 6.94 Li.upf
CELL_PARAMETERS angstrom
-4.0295 -0.7130 2.2489
1.9798 -3.4425 2.4560
1.2830 3.0730 3.2731
ATOMIC_POSITIONS angstrom
Nb -2.0147 -0.3565 1.1244
Nb 0.6415 1.5365 1.6366
Ni 0.0000 0.0000 0.0000
Nb 0.9899 -1.7213 1.2280
Li -0.3833 -0.5413 3.9890
```

13.
DFT (PBE) results for PmZnSn after structural relaxation. Values from VASP.

Computed properties:
- DOS(E_F) (states/eV per cell) = 1.31
- crystal system = trigonal
- ΔE_f (eV/atom) = -0.576

Structure (Quantum ESPRESSO input):
```
&SYSTEM
  ibrav = 0, nat = 3, ntyp = 3
/
ATOMIC_SPECIES
Zn 65.41 Zn.upf
Sn 118.71 Sn.upf
Pm 145.00 Pm.upf
CELL_PARAMETERS angstrom
4.2768 0.0000 0.0000
0.0000 4.4865 0.0000
0.0000 -2.2433 3.8854
ATOMIC_POSITIONS angstrom
Zn 0.9036 2.2433 1.2951
Sn 0.5834 0.0000 0.0000
Pm 2.7898 0.0000 2.5903
```

14.
DFT (PBE) results for NiSnP2S after structural relaxation. Values from VASP.

Computed properties:
- DOS(E_F) (states/eV per cell) = 5.10
- crystal system = tetragonal

Structure (Quantum ESPRESSO input):
```
&SYSTEM
  ibrav = 0, nat = 5, ntyp = 4
/
ATOMIC_SPECIES
P 30.97 P.upf
S 32.06 S.upf
Sn 118.71 Sn.upf
Ni 58.69 Ni.upf
CELL_PARAMETERS angstrom
4.3525 0.0000 0.0000
0.0000 4.3525 0.0000
0.0000 0.0000 5.0087
ATOMIC_POSITIONS angstrom
P 2.1762 0.0000 0.0000
S 0.0000 0.0000 2.5044
Sn 2.1762 2.1762 2.5044
P 0.0000 2.1762 0.0000
Ni 0.0000 0.0000 0.0000
```

15.
DFT (PBE) results for Zn2CuPt after structural relaxation. Values from VASP.

Computed properties:
- DOS(E_F) (states/eV per cell) = 1.61
- crystal system = monoclinic
- ΔE_f (eV/atom) = -0.282

Structure (Quantum ESPRESSO input):
```
&SYSTEM
  ibrav = 0, nat = 4, ntyp = 3
/
ATOMIC_SPECIES
Zn 65.41 Zn.upf
Cu 63.55 Cu.upf
Pt 195.08 Pt.upf
CELL_PARAMETERS angstrom
-2.8038 2.6680 2.3765
-1.6923 0.7760 4.1426
3.0038 3.2920 1.6362
ATOMIC_POSITIONS angstrom
Zn 2.9820 3.2783 1.6352
Zn -0.7244 3.3816 4.0785
Cu -1.1192 5.0519 6.1164
Pt -0.3731 1.6840 2.0388
```

16.
DFT (PBE) results for Np2AlFe9 after structural relaxation. Values from VASP.

Computed properties:
- DOS(E_F) (states/eV per cell) = 18.22
- crystal system = trigonal
- ΔE_f (eV/atom) = 0.074

Structure (Quantum ESPRESSO input):
```
&SYSTEM
  ibrav = 0, nat = 12, ntyp = 3
/
ATOMIC_SPECIES
Fe 55.84 Fe.upf
Np 237.00 Np.upf
Al 26.98 Al.upf
CELL_PARAMETERS angstrom
4.6879 0.0000 0.0000
2.3440 4.0599 0.0000
2.3440 1.3533 8.3722
ATOMIC_POSITIONS angstrom
Fe 3.5222 3.3796 6.3590
Fe 2.3440 1.3533 0.0202
Np 2.3440 1.3533 4.7717
Np 7.0319 4.0599 3.6005
Fe 5.8537 3.3796 6.3590
Al 0.0000 0.0000 0.0000
Fe 7.0319 4.0599 8.3520
Fe 4.6879 1.3605 6.3590
Fe 4.6879 2.7066 4.1861
Fe 4.6879 4.0527 2.0133
Fe 5.8537 2.0335 2.0133
Fe 3.5222 2.0335 2.0133
```

17.
DFT (PBE) results for PAuC2 after structural relaxation. Values from VASP.

Computed properties:
- DOS(E_F) (states/eV per cell) = 1.07
- crystal system = tetragonal
- ΔE_f (eV/atom) = 0.920

Structure (Quantum ESPRESSO input):
```
&SYSTEM
  ibrav = 0, nat = 8, ntyp = 3
/
ATOMIC_SPECIES
Au 196.97 Au.upf
P 30.97 P.upf
C 12.01 C.upf
CELL_PARAMETERS angstrom
-3.2154 -3.1097 1.7787
3.1746 -1.3657 3.3511
-1.4249 0.6482 5.0716
ATOMIC_POSITIONS angstrom
Au -2.3303 -2.3496 4.7076
P -0.0204 -2.2377 2.5649
C -1.7389 -1.7297 2.6712
C 0.9959 -1.3028 3.7119
C -1.3315 -3.3322 8.0525
C -0.8568 -1.2899 5.9672
P 0.8647 -1.4776 5.4938
Au 0.0000 0.0000 0.0000
```

18.
DFT (PBE) results for Li5B8C8 after structural relaxation. Values from VASP.

Computed properties:
- DOS(E_F) (states/eV per cell) = 4.23
- crystal system = monoclinic
- ΔE_f (eV/atom) = -0.139

Structure (Quantum ESPRESSO input):
```
&SYSTEM
  ibrav = 0, nat = 21, ntyp = 3
/
ATOMIC_SPECIES
B 10.81 B.upf
C 12.01 C.upf
Li 6.94 Li.upf
CELL_PARAMETERS angstrom
7.5398 0.1390 3.9657
6.0821 4.5994 1.2966
-0.0603 0.0162 5.3982
ATOMIC_POSITIONS angstrom
B 8.9503 1.4897 5.2638
C 7.9597 4.4574 2.5664
C 5.6039 0.2910 8.0903
B 5.3702 1.0266 4.0321
B 4.5426 3.2154 2.6907
B 8.3203 3.7613 3.9361
B 8.1207 3.7099 6.6187
C 8.0422 4.5063 5.2687
Li 3.3602 1.1967 5.3642
B 9.0245 1.5229 7.9598
Li 10.2013 3.5578 5.2963
C 8.6563 2.2414 6.6038
C 5.4461 0.2220 5.3941
Li 6.8239 2.3527 2.6654
C 8.8744 2.2942 3.9018
Li 10.1712 3.5659 7.9953
C 4.9032 2.5193 4.0604
B 4.6819 3.2830 5.4063
B 5.2357 1.0095 6.7343
Li 7.4966 0.1635 6.6305
C 4.7604 2.4866 6.7564
```

19.
DFT (PBE) results for CoCuRh2 after structural relaxation. Values from VASP.

Computed properties:
- DOS(E_F) (states/eV per cell) = 6.49
- crystal system = tetragonal
- ΔE_f (eV/atom) = 0.080

Structure (Quantum ESPRESSO input):
```
&SYSTEM
  ibrav = 0, nat = 4, ntyp = 3
/
ATOMIC_SPECIES
Rh 102.91 Rh.upf
Co 58.93 Co.upf
Cu 63.55 Cu.upf
CELL_PARAMETERS angstrom
-1.6663 1.8950 0.9105
0.6219 -0.6655 2.5233
5.4179 4.7977 -0.0701
ATOMIC_POSITIONS angstrom
Rh 2.6635 2.3586 -0.0345
Co 0.8323 1.8142 1.6994
Rh 0.0455 0.0403 -0.0006
Cu 3.5413 4.2131 1.6643
```

The following raw total energy values (in eV per atom) correspond, in order, to the records above: -5.391 -2.729 -6.804 -6.434 -3.433 -6.791 -5.057 -4.316 -2.922 -6.336 -2.618 -6.649 -3.918 -4.574 -3.454 -8.742 -5.864 -6.652 -6.396.
The following magnetic moment values (in μB/f.u.) correspond, in order, to the records above: 0.00 0.00 0.00 0.00 0.00 0.00 1.01 0.00 0.00 11.22 0.00 0.00 0.00 0.65 0.00 0.91 0.00 0.00 2.29.